# 1
First-principles (PBE-GGA) data for an optimized crystal structure of ScSnPbC2, as listed in the Alexandria database.

- electronic total energy (eV per atom) = -4.32
- density (Mg/m³) = 5.65
- formation energy (kcal/mol of atoms) = 50.28
- volume (Å³/cell) = 116.14

```
5
Lattice="-2.9725 2.5742 -2.0664 2.4203 -1.3692 -5.1872 -2.7495 -3.4696 -0.3670" Properties=species:S:1:pos:R:3 pbc="T T T"
C -1.3747 -1.7348 -0.1835
Sc -1.6509 -1.1323 -3.8103
Pb 0.0000 0.0000 0.0000
C -1.4863 1.2871 -1.0332
Sn 1.2101 -0.6846 -2.5936
```

***

# 2
First-principles (PBE-GGA) data for an optimized crystal structure of FeReIr2, as listed in the Alexandria database.

- electronic total energy (eV per atom) = -9.71
- density (Mg/m³) = 18.52
- formation energy (kcal/mol of atoms) = -1.16
- volume (Å³/cell) = 56.18
- relative energy among the computed polymorphs (meV/atom) = 92.7

```
4
Lattice="4.6802 -0.0030 0.0115 3.8908 2.6012 0.0115 0.8015 0.2430 4.6122" Properties=species:S:1:pos:R:3 pbc="T T T"
Ir 0.7982 0.2420 4.5354
Re 4.6812 1.4191 2.2901
Fe 7.0275 2.1303 3.5108
Ir 2.3535 0.7134 1.2288
```

***

# 3
First-principles (PBE-GGA) data for an optimized crystal structure of Sc3TaAl, as listed in the Alexandria database.

- electronic total energy (eV per atom) = -5.99
- density (Mg/m³) = 4.57
- formation energy (kcal/mol of atoms) = 21.37
- volume (Å³/cell) = 124.50
- relative energy among the computed polymorphs (meV/atom) = 155.9

```
5
Lattice="-4.1251 2.4629 -1.3607 -2.7021 -2.7940 3.1347 0.7848 3.3259 3.6409" Properties=species:S:1:pos:R:3 pbc="T T T"
Al 0.0000 0.0000 0.0000
Sc -2.0626 1.2314 -0.6803
Sc 0.3924 1.6630 1.8205
Sc -1.3510 -1.3970 1.5673
Ta -3.0212 1.4974 2.7074
```

***

# 4
First-principles (PBE-GGA) data for an optimized crystal structure of Sr2TcAu, as listed in the Alexandria database.

- electronic total energy (eV per atom) = -3.87
- density (Mg/m³) = 7.05
- formation energy (kcal/mol of atoms) = 8.83
- volume (Å³/cell) = 110.79
- relative energy among the computed polymorphs (meV/atom) = 215.1

```
4
Lattice="0.0000 3.8120 3.8120 3.8120 0.0000 3.8120 3.8120 3.8120 0.0000" Properties=species:S:1:pos:R:3 pbc="T T T"
Au 3.8120 3.8120 3.8120
Tc 0.0000 0.0000 0.0000
Sr 5.7181 5.7181 5.7181
Sr 1.9060 1.9060 1.9060
```

***

# 5
First-principles (PBE-GGA) data for an optimized crystal structure of Ta2CuAg, as listed in the Alexandria database.

- electronic total energy (eV per atom) = -7.34
- density (Mg/m³) = 13.26
- formation energy (kcal/mol of atoms) = 7.56
- volume (Å³/cell) = 66.77
- relative energy among the computed polymorphs (meV/atom) = 208.0

```
4
Lattice="-0.9459 -5.2295 -0.2186 5.0131 1.5425 -1.3902 1.3250 -0.9587 2.1966" Properties=species:S:1:pos:R:3 pbc="T T T"
Ta 0.0000 0.0000 0.0000
Cu 2.0336 -1.8435 -0.8044
Ta 0.1896 -3.0941 0.9890
Ag 3.1691 0.2919 0.4032
```

***

# 6
First-principles (PBE-GGA) data for an optimized crystal structure of KScW2, as listed in the Alexandria database.

- electronic total energy (eV per atom) = -7.14
- density (Mg/m³) = 7.16
- formation energy (kcal/mol of atoms) = 27.51
- volume (Å³/cell) = 104.72
- relative energy among the computed polymorphs (meV/atom) = 569.5

```
4
Lattice="3.6585 0.0000 0.0000 0.0000 3.6585 0.0000 0.0000 0.0000 7.8240" Properties=species:S:1:pos:R:3 pbc="T T T"
W 0.0000 0.0000 7.0360
K 1.8293 1.8293 1.9560
Sc 1.8293 1.8293 5.8680
W 0.0000 0.0000 4.6999
```

***

Number 2 is which compound?
FeReIr2